Computed, not measured: crystalline Pm2GaCo at its relaxed geometry at the PBE level of DFT.

Geometry as extended XYZ:
```
8
Lattice="2.273 -8.744 0.000 2.273 8.744 0.000 0.000 0.000 4.722" Properties=species:S:1:pos:R:3 pbc="T T T"
Pm 2.273 7.353 3.542
Pm 2.273 4.050 1.181
Pm 2.273 -4.050 3.542
Pm 2.273 -7.353 1.181
Ga 2.273 2.177 3.542
Ga 2.273 -2.177 1.181
Co 2.273 0.000 0.000
Co 2.273 0.000 2.361
```

Summary:
DFT formation energy	-101	kJ/mol of formula units
energy	-41.368	eV for the cell shown
calculated volume	23.461	Å³ per atom
crystal system	orthorhombic

---

Computed, not measured: crystalline Ga2SnSb at its relaxed geometry at the PBE level of DFT.

Geometry as extended XYZ:
```
4
Lattice="2.152 1.243 6.328 -2.152 1.243 6.328 0.000 -2.485 6.328" Properties=species:S:1:pos:R:3 pbc="T T T"
Ga 0.000 0.000 0.000
Ga 0.000 0.000 3.190
Sn 0.000 0.000 7.876
Sb 0.000 0.000 11.131
```

Summary:
relative energy among the computed polymorphs	66	meV/atom
uncorrected formation energy	0.0643	eV/atom
energy	-13.922	eV for the cell shown
calculated volume	25.389	Å³ per atom
crystal system	trigonal